Record 1
CdAgBi2: optimized geometry, PBEsol.

a b c (Å): 7.034 7.034 7.034
angles (deg): 98.42 98.42 135.01
Positions (direct):
Cd  0.000  0.000  0.000
Cd  0.750  0.250  0.500
Ag  0.250  0.750  0.500
Ag  0.500  0.500  0.000
Bi  0.213  0.625  0.088
Bi  0.375  0.463  0.588
Bi  0.537  0.125  0.912
Bi  0.875  0.787  0.412

## Properties
Theoretical density (Mg/m³): 9.3
Energy (eV for the cell shown): -24.96
Volume (Å³/atom): 28.4
Spin magnetization (μB/f.u.): 0.000
Space-group type: I-42d, No. 122

=====

Record 2
CdAg2Bi2: optimized geometry, PBEsol.

a b c (Å): 8.914 8.914 8.914
angles (deg): 155.39 155.39 35.08
Positions (direct):
Cd  0.000  0.000  0.000
Ag  0.250  0.750  0.500
Ag  0.750  0.250  0.500
Bi  0.389  0.389  0.000
Bi  0.611  0.611  0.000

## Properties
Theoretical density (Mg/m³): 10.1
Energy (eV for the cell shown): -15.70
Volume (Å³/atom): 24.5
Spin magnetization (μB/f.u.): 0.000
Space-group type: I4/mmm, No. 139